Compound: Cs2H2Br2N
Source: Alexandria via LeMat-Bulk
Functional: PBE
Structure: relaxed

a = 4.5839 Å, b = 7.0868 Å, c = 9.3874 Å
α = 48.53°, β = 90.00°, γ = 71.10°
With the nearest neighbours (Å) after each atom.
Positions (direct):
1 N 0.0000 0.0000 0.0000  2 H 1.01
2 Br 0.7779 0.4432 0.2782  2 H 2.82-2.84
3 Br 0.2221 0.5568 0.7218  2 H 2.82-2.84
4 Cs 0.5002 0.9997 0.2725  2 N 3.43, 4 H 3.57-3.58, 6 Br 3.69-3.79
5 Cs 0.4998 0.0003 0.7275  2 N 3.43, 4 H 3.57-3.58, 6 Br 3.69-3.79
6 H 0.8929 0.2111 0.8946  1 N 1.01
7 H 0.1071 0.7889 0.1054  1 N 1.01

Results
Raw total energy = -3.5402 eV per atom